Arrangement 1

InGaB2 | PBE | relaxed

- Spin magnetization: 0.000 μB/atom

Cell: 4.1888 4.1888 7.3549 Å, 73.46 73.46 90.00°
Atoms (fractional coordinates):
B1 0.5250 0.1250 0.2500
Ga1 0.5000 0.5000 0.0000
In1 0.7500 0.2500 0.5000
B2 0.3750 0.4750 0.7500
Ga2 0.2500 0.7500 0.5000
B3 0.2250 0.6250 0.2500
In2 0.0000 0.0000 0.0000
B4 0.8750 0.7750 0.7500

***

Arrangement 2

InGaB2 | PBE | relaxed

- Spin magnetization: 0.000 μB/atom

Cell: 4.3110 4.3110 4.3110 Å, 60.00 60.00 60.00°
Atoms (fractional coordinates):
In1 0.5000 0.5000 0.5000
B1 0.7500 0.7500 0.7500
B2 0.2500 0.2500 0.2500
Ga1 0.0000 0.0000 0.0000

***

Sorted by energy, starting with the most stable: arrangement 1, arrangement 2.

***

Arrangement 1

In2GaB2 | PBE | relaxed

- Spin magnetization: 0.000 μB/atom

Cell: 4.2779 4.2779 5.5255 Å, 67.23 67.23 90.00°
Atoms (fractional coordinates):
Ga1 0.0000 0.0000 0.0000
B1 0.5893 0.5893 0.8214
In1 0.2500 0.7500 0.5000
In2 0.7500 0.2500 0.5000
B2 0.4107 0.4107 0.1786

***

Arrangement 2

In2GaB2 | PBE | relaxed

- Spin magnetization: 0.000 μB/atom

Cell: 6.5102 6.5102 3.8053 Å, 90.00 90.00 90.00°
Atoms (fractional coordinates):
B1 0.9107 0.5893 0.0000
B2 0.0893 0.4107 0.0000
B3 0.5893 0.0893 0.0000
Ga1 0.0000 0.0000 0.0000
B4 0.4107 0.9107 0.0000
In1 0.2961 0.2039 0.5000
In2 0.7039 0.7961 0.5000
In3 0.7961 0.2961 0.5000
In4 0.2039 0.7039 0.5000
Ga2 0.5000 0.5000 0.0000

***

Sorted by energy, starting with the most stable: arrangement 1, arrangement 2.

***

Arrangement 1

InGa2B | PBE | relaxed

- Spin magnetization: 0.000 μB/atom

Cell: 4.6925 4.6925 4.6925 Å, 60.00 60.00 60.00°
Atoms (fractional coordinates):
Ga1 0.7500 0.7500 0.7500
In1 0.5000 0.5000 0.5000
B1 0.0000 0.0000 0.0000
Ga2 0.2500 0.2500 0.2500

***

Arrangement 2

InGa2B | PBE | relaxed

- Spin magnetization: 0.000 μB/atom

Cell: 6.0689 6.0689 6.2564 Å, 60.99 60.99 90.00°
Atoms (fractional coordinates):
B1 0.5000 0.5000 0.0000
Ga1 0.3750 0.4986 0.7500
In1 0.7500 0.2500 0.5000
In2 0.0000 0.0000 0.0000
Ga2 0.8750 0.7514 0.7500
B2 0.2500 0.7500 0.5000
Ga3 0.5014 0.1250 0.2500
Ga4 0.2486 0.6250 0.2500

***

Sorted by energy, starting with the most stable: arrangement 2, arrangement 1.

***

Arrangement 1

GaB3Ir | PBE | relaxed

- Spin magnetization: 0.001 μB/atom

Cell: 4.1578 4.1578 4.1578 Å, 90.00 90.00 90.00°
Atoms (fractional coordinates):
B1 0.0000 0.5000 0.0000
Ga1 0.5000 0.5000 0.5000
B2 0.5000 0.0000 0.0000
Ir1 0.0000 0.0000 0.0000
B3 0.0000 0.0000 0.5000

***

Arrangement 2

GaB3Ir | PBE | relaxed

- Spin magnetization: 0.000 μB/atom

Cell: 3.9736 3.9736 3.9736 Å, 90.00 90.00 90.00°
Atoms (fractional coordinates):
B1 0.0000 0.0000 0.5000
B2 0.5000 0.0000 0.0000
Ga1 0.0000 0.0000 0.0000
B3 0.0000 0.5000 0.0000
Ir1 0.5000 0.5000 0.5000

***

Sorted by energy, starting with the most stable: arrangement 1, arrangement 2.